Entry 1:
Below is a relaxed La8Pr2Mg crystal, with properties calculated at the PBE level.

Output
- total moment (μB/f.u.) = 0.00
- energy relative to the elements (meV/atom) = 76
- theoretical density (g/cm³) = 5.8
- ΔE to the lowest computed polymorph (eV/atom) = 0.021
- final energy (eV/atom) = -4.522

```
La8Pr2Mg
1.0
5.270 0.000 0.000
0.000 5.270 0.000
0.000 0.000 14.657
La Mg Pr
8 1 2
Direct
0.500 0.500 0.321 La
0.500 0.000 0.143 La
0.000 0.500 0.143 La
0.500 0.000 0.500 La
0.000 0.500 0.857 La
0.000 0.500 0.500 La
0.500 0.500 0.679 La
0.500 0.000 0.857 La
0.000 0.000 0.000 Mg
0.000 0.000 0.316 Pr
0.000 0.000 0.684 Pr
```

=====

Entry 2:
Below is a relaxed La3Pr3Mg crystal, with properties calculated at the PBE level.

Output
- total moment (μB/f.u.) = 0.00
- energy relative to the elements (meV/atom) = 10
- theoretical density (g/cm³) = 5.9
- ΔE to the lowest computed polymorph (eV/atom) = 0.000
- final energy (eV/atom) = -4.377

```
La3Pr3Mg
1.0
-5.760 -0.072 -1.138
1.707 3.803 -8.880
-0.122 -9.732 1.228
Pr La Mg
6 6 2
Direct
0.250 0.055 0.242 Pr
0.750 0.945 0.758 Pr
0.250 0.187 0.945 Pr
0.750 0.242 0.187 Pr
0.250 0.758 0.813 Pr
0.750 0.813 0.055 Pr
0.250 0.896 0.523 La
0.750 0.372 0.895 La
0.250 0.477 0.372 La
0.250 0.628 0.105 La
0.750 0.104 0.477 La
0.750 0.523 0.628 La
0.250 0.333 0.667 Mg
0.750 0.667 0.333 Mg
```